{"formula": "BaGeSeN2", "functional": "GGA-PBE", "state": "optimized geometry", "cell": [[4.317, 0.000, 0.000], [0.000, 4.317, 0.000], [0.000, 0.000, 5.132]], "species": ["Ba", "Ge", "Se", "N", "N"], "frac_coords": [[0.000, 0.000, 0.000], [0.500, 0.500, 0.500], [0.500, 0.500, 0.000], [0.000, 0.500, 0.500], [0.500, 0.000, 0.500]], "e_above_lowest_polymorph_mev_per_atom": 0, "density_g_cm3": 5.50, "space_group": "P4/mmm", "magnetic_moment_mub_per_cell": 2.31, "final_energy_ev_per_cell": -24.744}

{"formula": "HgAs2Br2", "functional": "GGA-PBE", "state": "optimized geometry", "cell": [[7.198, 0.000, 0.000], [0.000, 7.198, 0.000], [0.000, 0.000, 5.291]], "species": ["Hg", "Hg", "As", "As", "As", "As", "Br", "Br", "Br", "Br"], "frac_coords": [[0.000, 0.000, 0.000], [0.500, 0.500, 0.000], [0.124, 0.376, 0.000], [0.376, 0.876, 0.000], [0.624, 0.124, 0.000], [0.876, 0.624, 0.000], [0.171, 0.329, 0.500], [0.329, 0.829, 0.500], [0.671, 0.171, 0.500], [0.829, 0.671, 0.500]], "density_g_cm3": 6.18, "space_group": "P4/mbm", "magnetic_moment_mub_per_cell": 0.00, "final_energy_ev_per_cell": -26.363}

Computed values of density of states at the Fermi level (unit: states/eV per cell) for the preceding records, in sequence: 2.73 2.87.
Computed values of energy relative to the elements, uncorrected (unit: eV/atom) for the preceding records, in sequence: 0.386 -0.047.